Entry from the Alexandria database: Ag3Pb2 after structural relaxation (PBE-GGA).

Properties
Formation energy: 0.231 eV/atom
Energy above the most stable polymorph in this dataset: 153 meV/atom
SG: P-3m1

abc: 4.7061 4.7061 6.7021
angles: 90.00 90.00 120.00
With the nearest neighbours (Å) after each atom.
Sites, in units of the cell vectors:
Ag1 0.0000 0.0000 0.0000  6 Pb 2.97
Ag2 0.3333 0.6667 0.3825  4 Pb 2.94-3.04, 3 Ag 3.14
Ag3 0.6667 0.3333 0.6175  4 Pb 2.94-3.04, 3 Ag 3.14
Pb1 0.3333 0.6667 0.8210  7 Ag 2.94-3.04
Pb2 0.6667 0.3333 0.1790  7 Ag 2.94-3.04



Entry from the Alexandria database: Tb4SiHS2 after structural relaxation (PBE-GGA).

Properties
E_tot: -45.63 eV for the cell shown
SG: Fmm2

abc: 5.5633 5.5633 6.8471
angles: 114.11 114.11 89.69
With the nearest neighbours (Å) after each atom.
Sites, in units of the cell vectors:
Si1 0.9352 0.9352 0.0000  6 Tb 2.76-2.79
S1 0.6907 0.1907 0.5000  6 Tb 2.78-2.80
S2 0.1907 0.6907 0.5000  6 Tb 2.78-2.80
Tb1 0.6933 0.6933 0.5066  1 Si 2.76, 4 S 2.78-2.79, 1 H 2.85
Tb2 0.1867 0.1867 0.4934  1 Si 2.76, 4 S 2.78-2.79, 1 H 2.85
Tb3 0.9629 0.4355 0.0000  1 H 2.45
Tb4 0.4355 0.9629 0.0000  1 H 2.45
H1 0.4022 0.4022 0.0000  2 Tb 2.45



Entry from the Alexandria database: SmS2 after structural relaxation (PBE-GGA).

Properties
Formation energy (no corrections): -1667.2 meV per atom
SG: Pbcm

abc: 5.1173 7.1595 7.6181
angles: 90.00 90.00 90.00
With the nearest neighbours (Å) after each atom.
Sites, in units of the cell vectors:
Sm1 0.2500 0.2444 0.4537  8 S 2.77-3.01
Sm2 0.2500 0.7556 0.9537  8 S 2.77-3.01
Sm3 0.7500 0.2444 0.0463  8 S 2.77-3.01
Sm4 0.7500 0.7556 0.5463  8 S 2.77-3.01
S1 0.0000 0.4420 0.7500  2 S 2.56
S2 0.5000 0.4420 0.7500  2 S 2.56
S3 0.7500 0.8938 0.8920  4 Sm 2.77-2.81
S4 0.5000 0.5580 0.2500  2 S 2.56
S5 0.2500 0.1062 0.1080  4 Sm 2.77-2.81
S6 0.2500 0.8938 0.6080  4 Sm 2.77-2.81
S7 0.7500 0.1062 0.3920  4 Sm 2.77-2.81
S8 0.0000 0.5580 0.2500  2 S 2.56



Entry from the Alexandria database: Tb2Dy3Mg after structural relaxation (PBE-GGA).

Properties
Formation energy: 0.138 eV/atom
Energy above the most stable polymorph in this dataset: 70 meV/atom
SG: C2/c

abc: 7.5521 7.5521 9.7297
angles: 100.13 136.28 80.92
With the nearest neighbours (Å) after each atom.
Sites, in units of the cell vectors:
Dy1 0.7710 0.6690 0.4849  2 Mg 3.26-3.27, 4 Dy 3.41-3.59, 4 Tb 3.44-3.64
Dy2 0.2290 0.3310 0.5151  2 Mg 3.26-3.27, 4 Dy 3.41-3.59, 4 Tb 3.44-3.64
Dy3 0.1982 0.9482 0.2500  1 Mg 3.11, 2 Dy 3.43
Dy4 0.3158 0.7139 0.9849  2 Mg 3.26-3.27, 4 Dy 3.41-3.59, 4 Tb 3.44-3.64
Dy5 0.6842 0.2861 0.0151  2 Mg 3.26-3.27, 4 Dy 3.41-3.59, 4 Tb 3.44-3.64
Dy6 0.8018 0.0518 0.7500  1 Mg 3.11, 2 Dy 3.43
Tb1 0.2955 0.9301 0.6899  2 Tb 3.28-3.37, 2 Mg 3.35-3.36, 4 Dy 3.44-3.64
Tb2 0.7402 0.6056 0.8101  2 Tb 3.28-3.37, 2 Mg 3.35-3.36, 4 Dy 3.44-3.64
Tb3 0.2598 0.3944 0.1899  2 Tb 3.28-3.37, 2 Mg 3.35-3.36, 4 Dy 3.44-3.64
Tb4 0.7045 0.0699 0.3101  2 Tb 3.28-3.37, 2 Mg 3.35-3.36, 4 Dy 3.44-3.64
Mg1 0.0723 0.3223 0.7500  5 Dy 3.11-3.27, 4 Tb 3.35-3.36
Mg2 0.9277 0.6777 0.2500  5 Dy 3.11-3.27, 4 Tb 3.35-3.36